## SbHPb2 (PBE)

Data for SbHPb2 after structural relaxation.

a = 6.4984 Å, b = 6.4984 Å, c = 6.4984 Å
α = 40.15°, β = 40.15°, γ = 40.15°
Fractional coordinates of all 4 atoms:
Sb (0.0000, 0.0000, 0.0000)
H (0.5000, 0.5000, 0.5000)
Pb (0.2345, 0.2345, 0.2345)
Pb (0.7655, 0.7655, 0.7655)

crystal system	trigonal
E above lowest polymorph	1.8	kJ/mol of atoms
DOS at the Fermi energy	0.299	states/eV per atom